(1)
A plane-wave DFT calculation with PBE-GGA was carried out for FeCo2Ni5 after structural relaxation.

Cell and atoms, written as extended XYZ:
```
16
Lattice="6.0846 0.0000 0.0000 0.0000 6.0846 0.0000 -3.0423 -3.0423 4.9834" Properties=species:S:1:pos:R:3 pbc="T T T"
Fe 3.0423 3.0423 2.4917
Fe 0.0000 0.0000 2.4917
Co 0.8466 2.1957 0.0000
Co 3.8889 0.8466 0.0000
Co 2.1957 5.2380 0.0000
Co 5.2380 3.8889 0.0000
Ni 0.9045 2.1378 3.3286
Ni 3.9469 -0.9045 1.6548
Ni 0.0000 0.0000 0.0000
Ni 3.0423 3.0423 0.0000
Ni -0.9045 3.9469 3.3286
Ni 2.1378 -0.9045 3.3286
Ni 3.9469 0.9045 3.3286
Ni 0.9045 3.9469 1.6548
Ni -0.9045 2.1378 1.6548
Ni 2.1378 0.9045 1.6548
```

Summary:
Formation energy from the elements ... 0.2363 eV per atom

---

(2)
A plane-wave DFT calculation with PBE-GGA was carried out for Fe8Co3Ni3 after structural relaxation.

Cell and atoms, written as extended XYZ:
```
14
Lattice="-1.6507 1.3631 3.8140 3.6340 -1.9438 5.4372 2.1859 6.1746 1.9089" Properties=species:S:1:pos:R:3 pbc="T T T"
Fe 0.5961 4.6267 4.7500
Fe 3.5732 0.9671 6.4101
Fe 1.3139 0.6027 6.4988
Fe 2.8554 4.9912 4.6613
Fe 3.0025 2.6995 8.0137
Fe 1.1667 2.8944 3.1464
Fe 2.6171 4.8603 7.0746
Fe 1.5522 0.7335 4.0855
Co 2.0846 2.7969 5.5801
Co -0.1588 2.2525 5.2482
Co 4.3281 3.3413 5.9119
Ni -0.8254 0.6815 1.9070
Ni 3.4422 -0.8685 4.9699
Ni 2.3777 5.0993 2.3763
```

Summary:
Formation energy from the elements ... 0.2577 eV per atom

---

(3)
A plane-wave DFT calculation with PBE-GGA was carried out for FeCo2Ni after structural relaxation.

Cell and atoms, written as extended XYZ:
```
4
Lattice="-2.6903 1.8027 1.3594 -1.1758 -2.1592 0.5363 1.0516 -2.2437 5.0564" Properties=species:S:1:pos:R:3 pbc="T T T"
Ni -1.4347 -2.4003 4.8809
Co -1.1625 -2.1595 0.5632
Co -1.3954 -0.1991 2.0396
Fe -0.0599 -2.2018 2.8012
```

Summary:
Formation energy from the elements ... -0.0125 eV per atom

---

(4)
A plane-wave DFT calculation with PBE-GGA was carried out for Fe12Co5Ni after structural relaxation.

Cell and atoms, written as extended XYZ:
```
18
Lattice="8.6264 0.0000 0.0016 4.3132 6.0275 0.0008 -0.0008 0.0000 4.0172" Properties=species:S:1:pos:R:3 pbc="T T T"
Fe 7.1769 0.0000 2.0096
Fe 1.4487 0.0000 2.0091
Fe 5.7339 0.0000 4.0181
Fe 2.8917 0.0000 0.0007
Fe 5.7447 4.0111 4.0181
Fe 2.8809 4.0111 0.0007
Fe 10.0579 2.0165 4.0189
Fe 7.1941 2.0165 0.0015
Fe 5.7329 2.0109 2.0099
Fe 10.0461 4.0167 2.0107
Fe 2.8928 2.0109 2.0089
Fe 7.2060 4.0167 2.0097
Co 4.3128 0.0000 2.0094
Co 4.3128 4.0393 2.0094
Co 8.6260 1.9883 2.0102
Co 8.6264 4.0116 0.0016
Co 4.3132 2.0160 0.0008
Ni 0.0000 0.0000 0.0000
```

Summary:
Formation energy from the elements ... -0.0297 eV per atom

---

(5)
A plane-wave DFT calculation with PBE-GGA was carried out for Fe5CoNi2 after structural relaxation.

Cell and atoms, written as extended XYZ:
```
8
Lattice="-0.1805 3.2384 -1.3355 -0.8113 -1.3395 -3.1386 -6.7605 -0.6356 3.9788" Properties=species:S:1:pos:R:3 pbc="T T T"
Fe -0.4959 0.9494 -2.2370
Fe -5.4756 1.8521 0.6249
Fe -5.7910 -0.4369 -0.2766
Fe -2.2766 -0.5889 -1.1202
Fe -1.9612 1.7001 -0.2186
Co 0.0000 0.0000 0.0000
Ni -4.1257 1.1064 -1.3657
Ni -3.6266 0.1568 0.8705
```

Summary:
Formation energy from the elements ... 0.0086 eV per atom

---

(6)
A plane-wave DFT calculation with PBE-GGA was carried out for FeCo2Ni9 after structural relaxation.

Cell and atoms, written as extended XYZ:
```
12
Lattice="-2.1891 -0.0987 -2.7654 -1.7407 -2.6919 1.4740 -6.4587 6.8425 4.8684" Properties=species:S:1:pos:R:3 pbc="T T T"
Fe 0.0000 0.0000 0.0000
Co -2.1616 2.2900 1.6294
Co -4.2971 4.5525 3.2391
Ni -1.9649 -1.3953 -0.6457
Ni -4.1204 0.8883 0.9791
Ni -6.2681 3.1636 2.5980
Ni -2.1787 1.0992 -0.5655
Ni -4.3239 3.3719 1.0515
Ni -6.4691 5.6445 2.6685
Ni -1.9545 -0.1973 1.5543
Ni -4.0997 2.0753 3.1712
Ni -6.2449 4.3480 4.7882
```

Summary:
Formation energy from the elements ... -0.0166 eV per atom